[1]
Computed, not measured: a relaxed structure of CsSrHoI6 at the PBE-GGA level of DFT.

Unit cell a=8.2743 b=8.2743 c=16.8109 alpha=90.00 beta=90.00 gamma=120.00
Fractional positions:
Cs (0.0000, 0.0000, 0.0000)
Cs (0.0000, 0.0000, 0.5000)
Sr (0.3333, 0.6667, 0.2500)
Sr (0.6667, 0.3333, 0.7500)
Ho (0.6667, 0.3333, 0.2500)
Ho (0.3333, 0.6667, 0.7500)
I (0.6385, 0.6148, 0.1429)
I (0.9762, 0.3615, 0.1429)
I (0.3615, 0.9762, 0.6429)
I (0.0238, 0.6385, 0.8571)
I (0.3852, 0.3615, 0.3571)
I (0.9762, 0.6148, 0.3571)
I (0.6148, 0.9762, 0.8571)
I (0.6385, 0.0238, 0.3571)
I (0.0238, 0.3852, 0.6429)
I (0.3852, 0.0238, 0.1429)
I (0.6148, 0.6385, 0.6429)
I (0.3615, 0.3852, 0.8571)

## Properties
Total magnetization in μB/f.u.: 0.0
Calculated volume in Å³ per cell: 996.73
Raw formation energy in eV per formula unit: -13.9
Final energy in eV/atom: -3.370
Symmetry: No. 163



[2]
Computed, not measured: a relaxed structure of Li2FePd2 at the PBE-GGA level of DFT.

Unit cell a=6.8921 b=6.8921 c=2.7926 alpha=90.00 beta=90.00 gamma=90.00
Fractional positions:
Fe (0.0000, 0.0000, 0.0000)
Fe (0.5000, 0.5000, 0.0000)
Pd (0.1860, 0.6860, 0.5000)
Pd (0.6860, 0.8140, 0.5000)
Pd (0.8140, 0.3140, 0.5000)
Pd (0.3140, 0.1860, 0.5000)
Li (0.3841, 0.8841, 0.0000)
Li (0.8841, 0.6159, 0.0000)
Li (0.6159, 0.1159, 0.0000)
Li (0.1159, 0.3841, 0.0000)

## Properties
Total magnetization in μB/f.u.: 3.2
Calculated volume in Å³ per cell: 132.65
Energy above the most stable polymorph in this dataset in meV/atom: 0
Final energy in eV/atom: -4.642
Symmetry: No. 127
E_form in eV/f.u.: -0.5